Entry 1:
Computed, not measured: Dy2TmIn3AgPt2 after structural relaxation at the GGA-PBE level of DFT.

abc: 3.7535 7.8035 7.8035
angles: 119.87 90.00 90.00
Sites, in units of the cell vectors:
Dy 0.0000 0.2046 0.7954
Dy 0.0000 0.7954 0.2046
Tm 0.0000 0.6143 0.6143
In 0.5000 0.2055 0.4738
In 0.5000 0.4738 0.2055
In 0.5000 0.9348 0.9348
Ag 0.0000 0.2053 0.2053
Pt 0.5000 0.5386 0.8693
Pt 0.5000 0.8693 0.5386

## Properties
Total DFT energy (no corrections), eV per formula unit: -44.2



Entry 2:
Computed, not measured: BaScMo2 after structural relaxation at the GGA-PBE level of DFT.

abc: 4.9334 4.9334 4.9334
angles: 60.00 60.00 60.00
Sites, in units of the cell vectors:
Ba 0.0000 0.0000 0.0000
Sc 0.2500 0.2500 0.2500
Mo 0.5000 0.5000 0.5000
Mo 0.7500 0.7500 0.7500

## Properties
Total DFT energy (no corrections), eV per formula unit: -25.8



Entry 3:
Computed, not measured: SrBeGePd after structural relaxation at the GGA-PBE level of DFT.

abc: 4.7127 4.7127 4.7127
angles: 60.00 60.00 60.00
Sites, in units of the cell vectors:
Sr 0.0000 0.0000 0.0000
Be 0.2500 0.2500 0.2500
Ge 0.7500 0.7500 0.7500
Pd 0.5000 0.5000 0.5000

## Properties
ΔE to the lowest computed polymorph, meV/atom: 0
Total DFT energy (no corrections), eV per formula unit: -15.3



Entry 4:
Computed, not measured: GdCoSn after structural relaxation at the GGA-PBE level of DFT.

abc: 4.5492 4.5492 4.5492
angles: 60.00 60.00 60.00
Sites, in units of the cell vectors:
Gd 0.0000 0.0000 0.0000
Co 0.2500 0.2500 0.2500
Sn 0.5000 0.5000 0.5000

## Properties
Total DFT energy (no corrections), eV per formula unit: -16.8



Entry 5:
Computed, not measured: NaYFeSe3 after structural relaxation at the GGA-PBE level of DFT.

abc: 10.7748 4.0491 13.4511
angles: 90.00 90.00 90.00
Sites, in units of the cell vectors:
Na 0.2164 0.2500 0.0036
Na 0.2836 0.7500 0.5036
Na 0.7164 0.2500 0.4964
Na 0.7836 0.7500 0.9964
Y 0.0152 0.7500 0.7406
Y 0.4848 0.2500 0.2406
Y 0.5152 0.7500 0.7594
Y 0.9848 0.2500 0.2594
Fe 0.2352 0.7500 0.2208
Fe 0.2648 0.2500 0.7208
Fe 0.7352 0.7500 0.2792
Fe 0.7648 0.2500 0.7792
Se 0.0511 0.7500 0.1183
Se 0.0938 0.2500 0.6054
Se 0.2385 0.2500 0.3292
Se 0.2615 0.7500 0.8292
Se 0.4062 0.7500 0.1054
Se 0.4489 0.2500 0.6183
Se 0.5511 0.7500 0.3817
Se 0.5938 0.2500 0.8946
Se 0.7385 0.2500 0.1708
Se 0.7615 0.7500 0.6708
Se 0.9062 0.7500 0.3946
Se 0.9489 0.2500 0.8817

## Properties
ΔE to the lowest computed polymorph, meV/atom: 27
Total DFT energy (no corrections), eV per formula unit: -33.3



Entry 6:
Computed, not measured: NdTaIr after structural relaxation at the GGA-PBE level of DFT.

abc: 4.6059 4.6059 4.6059
angles: 60.00 60.00 60.00
Sites, in units of the cell vectors:
Nd 0.0000 0.0000 0.0000
Ta 0.2500 0.2500 0.2500
Ir 0.7500 0.7500 0.7500

## Properties
ΔE to the lowest computed polymorph, meV/atom: 1112
Total DFT energy (no corrections), eV per formula unit: -21.8
Energy of formation, eV per atom: 1.2166



Entry 7:
Computed, not measured: ErTmInFe2 after structural relaxation at the GGA-PBE level of DFT.

abc: 3.9230 7.0649 7.0649
angles: 30.78 90.00 90.00
Sites, in units of the cell vectors:
Er 0.0000 0.0000 0.0000
Tm 0.0000 0.7221 0.7221
In 0.5000 0.3608 0.3608
Fe 0.5000 0.1528 0.1528
Fe 0.5000 0.5701 0.5701

## Properties
Total DFT energy (no corrections), eV per formula unit: -29.5



Entry 8:
Computed, not measured: DyTlIn after structural relaxation at the GGA-PBE level of DFT.

abc: 7.6586 7.6586 4.6270
angles: 90.00 90.00 144.58
Sites, in units of the cell vectors:
Dy 0.1536 0.8464 0.0000
Dy 0.8464 0.1536 0.0000
Tl 0.3269 0.6731 0.5000
Tl 0.6731 0.3269 0.5000
In 0.0000 0.0000 0.5000
In 0.5000 0.5000 0.0000

## Properties
ΔE to the lowest computed polymorph, meV/atom: 18
Total DFT energy (no corrections), eV per formula unit: -10.7



Entry 9:
Computed, not measured: PrTm2P3 after structural relaxation at the GGA-PBE level of DFT.

abc: 4.0340 4.0340 9.8690
angles: 90.00 90.00 120.00
Sites, in units of the cell vectors:
Pr 0.0000 0.0000 0.0000
Tm 0.3333 0.6667 0.3397
Tm 0.6667 0.3333 0.6603
P 0.0000 0.0000 0.5000
P 0.3333 0.6667 0.8196
P 0.6667 0.3333 0.1804

## Properties
Total DFT energy (no corrections), eV per formula unit: -39.3



Entry 10:
Computed, not measured: Sr2LiNiH6 after structural relaxation at the GGA-PBE level of DFT.

abc: 5.2574 5.2574 5.2574
angles: 60.00 60.00 60.00
Sites, in units of the cell vectors:
Sr 0.2500 0.2500 0.2500
Sr 0.7500 0.7500 0.7500
Li 0.0000 0.0000 0.0000
Ni 0.5000 0.5000 0.5000
H 0.2664 0.2664 0.7336
H 0.2664 0.7336 0.2664
H 0.2664 0.7336 0.7336
H 0.7336 0.2664 0.2664
H 0.7336 0.2664 0.7336
H 0.7336 0.7336 0.2664

## Properties
Total DFT energy (no corrections), eV per formula unit: -35.4



Entry 11:
Computed, not measured: AcTbEr3 after structural relaxation at the GGA-PBE level of DFT.

abc: 5.8324 5.8324 5.8324
angles: 90.00 90.00 90.00
Sites, in units of the cell vectors:
Ac 0.0000 0.0000 0.0000
Tb 0.5000 0.5000 0.5000
Er 0.0000 0.0000 0.5000
Er 0.0000 0.5000 0.0000
Er 0.5000 0.0000 0.0000

## Properties
Total DFT energy (no corrections), eV per formula unit: -17.2
Energy of formation, eV per atom: 1.0415



Entry 12:
Computed, not measured: ErAgB after structural relaxation at the GGA-PBE level of DFT.

abc: 4.2386 4.2386 4.2386
angles: 60.00 60.00 60.00
Sites, in units of the cell vectors:
Er 0.0000 0.0000 0.0000
Ag 0.5000 0.5000 0.5000
B 0.7500 0.7500 0.7500

## Properties
ΔE to the lowest computed polymorph, meV/atom: 0
Total DFT energy (no corrections), eV per formula unit: -13.7



- Which formula does entry 3 have?
  SrBeGePd



- Among the records above, which one has the highest total DFT energy (no corrections)?
  DyTlIn



- The lowest total DFT energy (no corrections) belongs to which entry?
  Dy2TmIn3AgPt2



- Among the records above, which one has the highest total DFT energy (no corrections)?
  DyTlIn